Entry 1:
PBE-GGA NbAlZn2C, optimized geometry; formation energy from the elements = 1.94 eV/atom; final energy = -3.18 eV per atom
1.0
4.418 0.000 0.000
0.000 4.418 0.000
0.000 0.000 4.987
Nb Al Zn C
1 1 2 1
Cartesian
0.000 0.000 0.000
0.000 0.000 2.494
0.000 2.209 2.494
2.209 0.000 2.494
2.209 2.209 0.000

Entry 2:
PBE-GGA Ga2NiB2Ir5, optimized geometry; formation energy from the elements = -0.14 eV/atom; final energy = -7.09 eV per atom
1.0
9.406 0.000 0.000
0.000 9.406 0.000
0.000 0.000 2.893
Ga Ni B Ir
4 2 4 10
Cartesian
1.662 3.041 0.000
3.041 7.744 0.000
6.365 1.662 0.000
7.744 6.365 0.000
0.000 0.000 0.000
4.703 4.703 0.000
1.216 5.919 0.000
3.487 1.216 0.000
5.919 8.190 0.000
8.190 3.487 0.000
0.000 4.703 1.447
0.766 7.449 1.447
1.957 0.766 1.447
2.746 5.469 1.447
3.937 2.746 1.447
4.703 0.000 1.447
5.469 6.660 1.447
6.660 3.937 1.447
7.449 8.640 1.447
8.640 1.957 1.447

Entry 3:
PBE-GGA Tl3Te2Pb, optimized geometry; raw formation energy = -1.51 eV/f.u.; final energy = -3.10 eV per atom
1.0
9.142 -2.351 0.000
9.142 2.351 0.000
-1.444 0.000 4.950
Tl Te Pb
3 2 1
Cartesian
0.000 0.000 0.000
4.749 0.000 4.088
12.091 0.000 0.862
1.518 0.000 3.128
15.322 0.000 1.822
8.420 0.000 2.475

Entry 4:
PBE-GGA AgHN2, optimized geometry; ΔE to the lowest computed polymorph = 0.536 eV/atom; final energy = -3.84 eV per atom
1.0
1.514 0.874 4.977
-1.514 0.874 4.977
0.000 -1.749 4.977
Ag H N
1 1 2
Cartesian
0.000 0.000 0.000
0.000 0.000 7.465
0.000 0.000 2.191
0.000 0.000 12.739

Entry 5:
PBE-GGA Ru2RhW, optimized geometry; formation energy from the elements = 0.10 eV/atom; ΔE to the lowest computed polymorph = 0.221 eV/atom; final energy = -9.61 eV per atom
1.0
1.373 0.793 8.956
-1.373 0.793 8.956
0.000 -1.585 8.956
Ru Rh W
2 1 1
Cartesian
0.000 0.000 6.699
0.000 0.000 20.170
0.000 0.000 13.434
0.000 0.000 0.000

Entry 6:
PBE-GGA Ca2TlRhCl, optimized geometry; raw formation energy = -1.66 eV/f.u.; final energy = -3.45 eV per atom
1.0
5.556 0.000 0.000
0.000 5.556 0.000
0.000 0.000 4.669
Ca Tl Rh Cl
2 1 1 1
Cartesian
0.000 2.778 0.000
2.778 0.000 0.000
0.000 0.000 2.335
2.778 2.778 0.000
2.778 2.778 2.335

Entry 7:
PBE-GGA Dy8Zn2Fe, optimized geometry; formation energy from the elements = -0.09 eV/atom; ΔE to the lowest computed polymorph = 0.000 eV/atom; final energy = -4.43 eV per atom
1.0
8.598 -2.590 0.000
8.598 2.590 0.000
-2.059 0.000 6.382
Dy Zn Fe
8 2 1
Cartesian
-0.159 0.000 1.849
1.763 0.000 5.132
4.809 0.000 3.434
6.902 0.000 0.460
8.235 0.000 5.922
10.328 0.000 2.948
13.374 0.000 1.250
15.296 0.000 4.533
2.737 0.000 1.386
12.400 0.000 4.996
7.568 0.000 3.191

Entry 8:
PBE-GGA TmAgPd3, optimized geometry; formation energy from the elements = -0.31 eV/atom; ΔE to the lowest computed polymorph = 0.203 eV/atom; final energy = -4.89 eV per atom
1.0
6.599 0.000 0.000
-3.300 5.715 0.000
0.000 0.000 5.247
Tm Ag Pd
2 2 6
Cartesian
0.000 3.810 1.312
3.300 1.905 3.935
0.000 0.000 0.000
0.000 0.000 2.623
0.000 2.299 3.935
-1.309 4.566 3.935
1.991 1.149 1.312
1.309 4.566 3.935
4.608 1.149 1.312
3.300 3.416 1.312

Entry 9:
PBE-GGA Na2Nd2Ti3O10, optimized geometry; raw formation energy = -50.17 eV/f.u.; final energy = -7.98 eV per atom
1.0
-1.925 1.925 14.387
1.925 -1.925 14.387
1.925 1.925 -14.387
Na Nd Ti O
2 2 3 10
Cartesian
0.000 0.000 6.101
0.000 0.000 22.673
0.000 0.000 2.167
0.000 0.000 26.606
0.000 0.000 10.165
0.000 0.000 14.387
0.000 0.000 18.609
1.925 0.000 0.000
1.925 0.000 3.791
0.000 0.000 8.403
1.925 0.000 10.595
0.000 0.000 12.449
0.000 1.925 0.000
0.000 0.000 16.324
0.000 1.925 3.791
0.000 0.000 20.371
0.000 1.925 10.595

Entry 10:
PBE-GGA YCrSe2, optimized geometry; raw formation energy = -1.96 eV/f.u.; ΔE to the lowest computed polymorph = 0.561 eV/atom; final energy = -6.25 eV per atom
1.0
0.000 3.346 3.346
3.346 0.000 3.346
3.346 3.346 0.000
Y Cr Se
1 1 2
Cartesian
0.000 0.000 0.000
3.346 3.346 3.346
1.673 1.673 1.673
5.020 5.020 5.020

Entry 11:
PBE-GGA SrRuW3, optimized geometry; formation energy from the elements = 3.83 eV/atom; ΔE to the lowest computed polymorph = 2.197 eV/atom; final energy = -6.13 eV per atom
1.0
4.662 0.000 0.000
0.000 4.662 0.000
0.000 0.000 4.662
Sr Ru W
1 1 3
Cartesian
0.000 0.000 0.000
2.331 2.331 2.331
0.000 0.000 2.331
0.000 2.331 0.000
2.331 0.000 0.000

Entry 12:
PBE-GGA TlTeO3, optimized geometry; raw formation energy = 1.15 eV/f.u.; final energy = -3.85 eV per atom
1.0
4.239 0.000 0.000
0.000 4.239 0.000
0.000 0.000 4.239
Tl Te O
1 1 3
Cartesian
0.000 0.000 0.000
2.120 2.120 2.120
0.000 0.000 2.120
0.000 2.120 0.000
2.120 0.000 0.000